LiSc2Zn, relaxed, DFT GGA-PBE; energy of formation = -6.77 kJ per mole of atoms; total magnetization = 0.89 Bohr magnetons per cell
1.0
3.428 0.000 0.000
0.000 3.428 0.000
0.000 0.000 6.755
Sc Zn Li
2 1 1
direct
0.500 0.500 0.282
0.000 0.000 0.983
0.000 0.000 0.518
0.500 0.500 0.716

CrAgP2, relaxed, DFT GGA-PBE; offset from the most stable computed form = 1.51 eV per formula unit; energy of formation = 32.04 kJ per mole of atoms; total magnetization = 0.00 Bohr magnetons per cell
1.0
-4.909 3.435 1.731
-5.701 0.050 -2.528
4.832 -2.595 2.969
Ag Cr P
1 1 2
direct
0.250 0.750 0.500
0.750 0.250 0.500
0.911 0.911 0.000
0.589 0.589 0.000

Ac2LaDyBi4, relaxed, DFT GGA-PBE; energy of formation = -93.00 kJ per mole of atoms; total magnetization = 0.00 Bohr magnetons per cell
1.0
4.743 0.000 0.000
0.000 8.205 -0.163
0.000 2.886 7.677
Bi Ac Dy La
4 2 1 1
direct
0.500 0.731 0.262
0.500 0.269 0.738
0.000 0.265 0.251
0.000 0.735 0.749
0.000 0.000 0.000
0.500 0.000 0.500
0.000 0.500 0.500
0.500 0.500 0.000

Nd4Sm2YSc, relaxed, DFT GGA-PBE; energy of formation = 2.71 kJ per mole of atoms; total magnetization = 0.00 Bohr magnetons per cell
1.0
-0.898 -4.936 -1.082
0.275 -1.141 4.974
-9.621 0.459 5.895
Y Nd Sc Sm
1 4 1 2
direct
0.500 0.500 0.000
0.500 0.745 0.255
0.500 0.255 0.745
0.000 0.244 0.256
0.000 0.756 0.744
0.000 0.500 0.500
0.000 0.000 0.000
0.500 0.000 0.500

SrTbMgGa, relaxed, DFT GGA-PBE; energy of formation = -19.56 kJ per mole of atoms; total magnetization = 0.00 Bohr magnetons per cell
1.0
5.416 0.000 0.000
2.708 4.691 0.000
2.708 1.564 4.422
Ga Mg Sr Tb
1 1 1 1
direct
0.250 0.250 0.250
0.750 0.750 0.750
0.000 0.000 0.000
0.500 0.500 0.500

PrTh2O, relaxed, DFT GGA-PBE; energy relative to the elements, uncorrected = -0.95 eV/atom; total magnetization = 0.00 Bohr magnetons per cell
1.0
3.558 0.000 0.000
1.779 3.081 0.000
1.779 1.027 10.050
Th Pr O
2 1 1
direct
0.117 0.117 0.648
0.883 0.883 0.352
0.000 0.000 0.000
0.500 0.500 0.500

The highest total magnetization belongs to which entry? LiSc2Zn

Look up the total magnetization of the fourth one. 0.00 Bohr magnetons per cell

total magnetization of number 6 (PrTh2O)? 0.00 Bohr magnetons per cell